{
  "formula": "CsMnPb2F8",
  "functional": "GGA+U",
  "state": "optimized geometry",
  "cell": [[5.507, 0.000, 0.000], [0.581, 5.562, 0.000], [2.612, 0.369, 7.228]],
  "species": ["Cs", "Mn", "Pb", "Pb", "F", "F", "F", "F", "F", "F", "F", "F"],
  "frac_coords": [[0.000, 0.000, 0.000], [0.000, 0.000, 0.500], [0.397, 0.470, 0.269], [0.603, 0.530, 0.731], [0.063, 0.271, 0.609], [0.217, 0.792, 0.601], [0.254, 0.508, 0.017], [0.330, 0.071, 0.255], [0.670, 0.929, 0.745], [0.746, 0.492, 0.983], [0.783, 0.208, 0.399], [0.937, 0.729, 0.391]],
  "total_magnetization_mub_per_fu": 4.00,
  "e_tot_ev_per_atom": -5.0379,
  "dos_at_fermi_per_ev_atom": 0.000
}